(1)
Computed, not measured: a geometry-optimized Na2Tl3Cd6 structure at the PBE level of DFT.

a = 8.5459 Å, b = 8.5459 Å, c = 4.8752 Å
α = 90.00°, β = 90.00°, γ = 120.00°
Closest atoms and distances in Å follow each position.
Space group P-62m (No. 189)
One atom of each set of equivalent atoms:
Na1 0.3333 0.6667 0.0000 [2 per cell]  3 Cd 3.47, 6 Tl 3.51
Tl1 0.0000 0.5661 0.5000 [3 per cell]  5 Cd 2.94-3.21
Cd1 0.0000 0.2219 0.5000 [3 per cell]  3 Tl 2.94-3.21, 6 Cd 3.07-3.29
Cd2 0.0000 0.7857 0.0000 [3 per cell]  6 Cd 3.07-3.17, 2 Tl 3.08



(2)
Computed, not measured: a geometry-optimized TlGaCuSn2 structure at the PBE level of DFT.

a = 5.2666 Å, b = 5.2666 Å, c = 4.6721 Å
α = 90.00°, β = 90.00°, γ = 90.00°
Closest atoms and distances in Å follow each position.
Space group P4/mmm (No. 123)
One atom of each set of equivalent atoms:
Tl1 0.0000 0.0000 0.0000 [1 per cell]  8 Sn 3.52, 4 Ga 3.72
Ga1 0.5000 0.5000 0.0000 [1 per cell]  2 Cu 2.34
Cu1 0.5000 0.5000 0.5000 [1 per cell]  2 Ga 2.34
Sn1 0.0000 0.5000 0.5000 [2 per cell]  2 Cu 2.63



(3)
Computed, not measured: a geometry-optimized Ca6Mg3Al structure at the PBE level of DFT.

a = 9.6517 Å, b = 5.6733 Å, c = 12.2911 Å
α = 90.00°, β = 108.51°, γ = 90.00°
Closest atoms and distances in Å follow each position.
Space group P2_1/m (No. 11)
One atom of each set of equivalent atoms:
Ca1 0.0239 0.2500 0.4111 [2 per cell]  7 Mg 3.32-3.59, 3 Ca 3.70-3.71
Ca2 0.1504 0.7500 0.1669 [2 per cell]  1 Al 3.12, 4 Mg 3.31-3.35
Ca3 0.2723 0.2500 0.9991 [2 per cell]  3 Mg 3.31-3.60, 3 Al 3.33-3.41, 1 Ca 3.56
Ca4 0.3532 0.2500 0.3174 [2 per cell]  8 Ca 3.58-3.74, 4 Mg 3.66-3.84
Ca5 0.3561 0.7500 0.8215 [2 per cell]  3 Mg 3.31-3.63, 3 Al 3.34-3.40, 1 Ca 3.56
Ca6 0.4091 0.2500 0.6275 [2 per cell]  1 Al 3.12, 3 Mg 3.35-3.46
Mg1 0.0448 0.7500 0.8803 [2 per cell]  7 Ca 3.31-3.60, 2 Mg 3.66
Mg2 0.1155 0.2500 0.7170 [2 per cell]  8 Ca 3.31-3.63, 3 Mg 3.66-3.67
Mg3 0.2650 0.7500 0.4722 [2 per cell]  10 Ca 3.46-3.77, 1 Mg 3.67
Al1 0.4418 0.7500 0.1071 [2 per cell]  8 Ca 3.12-3.41



Number 1: total energy -1.391 eV per atom. Number 2: total energy -3.335 eV per atom. Number 3: total energy -2.128 eV per atom.